[1]
Compound: KLaSbCl2
Source: Alexandria via LeMat-Bulk
Functional: GGA-PBE
Structure: optimized geometry Values from VASP.

Structure (Quantum ESPRESSO input):
```
&SYSTEM
  ibrav = 0, nat = 5, ntyp = 4
/
ATOMIC_SPECIES
Sb 121.76 Sb.upf
K 39.10 K.upf
Cl 35.45 Cl.upf
La 138.91 La.upf
ATOMIC_POSITIONS crystal
Sb 0.5000 0.5000 0.5000
K 0.0000 0.5000 0.0000
Cl 0.0000 0.0000 0.5000
Cl 0.5000 0.0000 0.0000
La 0.0000 0.0000 0.0000
CELL_PARAMETERS angstrom
-4.4302 -0.5449 -3.1182
5.0708 -1.6432 -6.9173
-0.1551 -5.3198 1.1500
```

Calculated values
M_tot ... 1.0 Bohr magnetons per cell
Uncorrected formation energy ... -0.832 eV/atom


[2]
Compound: FeNi2Rh
Source: Alexandria via LeMat-Bulk
Functional: GGA-PBE
Structure: optimized geometry Values from VASP.

Structure (Quantum ESPRESSO input):
```
&SYSTEM
  ibrav = 0, nat = 4, ntyp = 3
/
ATOMIC_SPECIES
Fe 55.84 Fe.upf
Ni 58.69 Ni.upf
Rh 102.91 Rh.upf
ATOMIC_POSITIONS crystal
Fe 0.2500 0.2500 0.2500
Ni 0.9975 0.9975 0.0058
Ni 0.5025 0.5025 0.4942
Rh 0.7500 0.7500 0.7500
CELL_PARAMETERS angstrom
-0.0501 1.9584 4.0289
0.9103 -0.4799 4.3602
4.0963 1.6388 0.1857
```

Calculated values
Calculated formation energy ... 0.0071 eV per atom
M_tot ... 5.1 Bohr magnetons per cell


[3]
Compound: Th4TlTc2
Source: Alexandria via LeMat-Bulk
Functional: GGA-PBE
Structure: optimized geometry Values from VASP.

Structure (Quantum ESPRESSO input):
```
&SYSTEM
  ibrav = 0, nat = 7, ntyp = 3
/
ATOMIC_SPECIES
Th 232.04 Th.upf
Tl 204.38 Tl.upf
Tc 98.00 Tc.upf
ATOMIC_POSITIONS crystal
Th 0.7003 0.7003 0.8990
Th 0.8945 0.8945 0.3165
Th 0.2997 0.2997 0.1010
Th 0.1055 0.1055 0.6835
Tl 0.5000 0.5000 0.5000
Tc 0.5990 0.5990 0.2030
Tc 0.4010 0.4010 0.7970
CELL_PARAMETERS angstrom
-4.1706 0.6057 -0.3282
-2.6742 -2.5536 2.0485
-1.9337 7.4889 11.1727
```

Calculated values
Calculated formation energy ... -0.0603 eV per atom
M_tot ... 0.0 Bohr magnetons per cell


[4]
Compound: YCo2As
Source: Alexandria via LeMat-Bulk
Functional: GGA-PBE
Structure: optimized geometry Values from VASP.

Structure (Quantum ESPRESSO input):
```
&SYSTEM
  ibrav = 0, nat = 4, ntyp = 3
/
ATOMIC_SPECIES
As 74.92 As.upf
Co 58.93 Co.upf
Y 88.91 Y.upf
ATOMIC_POSITIONS crystal
As 0.5000 0.5000 0.7500
Co 0.0000 0.0000 0.9577
Co 0.0000 0.0000 0.5423
Y 0.5000 0.5000 0.2500
CELL_PARAMETERS angstrom
-2.3087 1.0296 -2.0774
-1.3753 -2.9683 0.0572
-3.3519 1.6404 4.5381
```

Calculated values
Calculated formation energy ... -0.0779 eV per atom
M_tot ... 0.0 Bohr magnetons per cell


[5]
Compound: ZrMn2Os
Source: Alexandria via LeMat-Bulk
Functional: GGA-PBE
Structure: optimized geometry Values from VASP.

Structure (Quantum ESPRESSO input):
```
&SYSTEM
  ibrav = 0, nat = 4, ntyp = 3
/
ATOMIC_SPECIES
Mn 54.94 Mn.upf
Os 190.23 Os.upf
Zr 91.22 Zr.upf
ATOMIC_POSITIONS crystal
Mn 0.9905 0.9905 0.9905
Mn 0.2496 0.2496 0.2496
Os 0.5110 0.5110 0.5110
Zr 0.7490 0.7490 0.7490
CELL_PARAMETERS angstrom
9.1854 -0.0064 -0.0038
8.7634 2.7522 -0.0038
8.7634 1.3406 2.4037
```

Calculated values
Calculated formation energy ... 0.3223 eV per atom
M_tot ... 4.4 Bohr magnetons per cell
Polymorph energy (0 for the lowest one) ... 328.2 meV/atom


[6]
Compound: AcPmMg2
Source: Alexandria via LeMat-Bulk
Functional: GGA-PBE
Structure: optimized geometry Values from VASP.

Structure (Quantum ESPRESSO input):
```
&SYSTEM
  ibrav = 0, nat = 4, ntyp = 3
/
ATOMIC_SPECIES
Ac 227.00 Ac.upf
Mg 24.30 Mg.upf
Pm 145.00 Pm.upf
ATOMIC_POSITIONS crystal
Ac 0.5000 0.5000 0.5000
Mg 0.7464 0.7464 0.7609
Mg 0.2536 0.2536 0.2391
Pm 0.0000 0.0000 0.0000
CELL_PARAMETERS angstrom
3.7213 0.0000 0.0000
1.8607 3.2228 0.0000
1.8607 1.0743 11.1038
```

Calculated values
Calculated formation energy ... 0.0825 eV per atom
M_tot ... 0.0 Bohr magnetons per cell
Polymorph energy (0 for the lowest one) ... 168.8 meV/atom


| no. | total energy (eV/cell) | DOS(E_F) (states/eV per atom) |
| --- | --- | --- |
| 1 | -18.0 | 0.75 |
| 2 | -27.3 | 1.25 |
| 3 | -53.2 | 0.89 |
| 4 | -25.6 | 0.91 |
| 5 | -36.8 | 1.28 |
| 6 | -11.7 | 1.04 |